Material: Tb2DyTm3Te6
Method: DFT, PBE
State: relaxed

abc: 18.9543 4.3067 8.7201
angles: 90.00 104.29 90.00
With the nearest neighbours (Å) after each atom.
Space group C2/m (No. 12)
Asymmetric unit:
Tb (0.1673, 0.0000, 0.3338) (multiplicity 4)  6 Te 3.08-3.10
Dy (0.0000, 0.5000, 0.0000) (multiplicity 2)  6 Te 3.08
Tm (0.0000, 0.5000, 0.5000) (multiplicity 2)  6 Te 3.03-3.04
Tm (0.1674, 0.0000, 0.8330) (multiplicity 4)  6 Te 3.03-3.05
Te (0.0016, 0.0000, 0.7475) (multiplicity 4)  3 Tm 3.04-3.05, 2 Dy 3.08, 1 Tb 3.10
Te (0.1649, 0.5000, 0.5866) (multiplicity 4)  3 Tm 3.03, 3 Tb 3.08-3.09
Te (0.1674, 0.5000, 0.0789) (multiplicity 4)  3 Tm 3.03-3.04, 1 Dy 3.08, 2 Tb 3.09

## Properties
Raw formation energy: -14.821 eV per formula unit
Total moment: 0.00 μB/atom
D(E_F): 6.1 states/eV/f.u.
DFT total energy: -121.896 eV/cell